P:
Here is an optimized crystal structure of K2CdHgAu from Alexandria. Energies are from PBE.

Properties
symmetry	P4/mmm (123)

Cell: 6.2818 6.2818 5.3808 Å, 90.00 90.00 90.00°
With the nearest neighbours (Å) after each atom.
Fractional positions:
1 K 0.0000 0.5000 0.0000  2 Au 3.14
2 K 0.5000 0.0000 0.0000  2 Au 3.14
3 Cd 0.0000 0.0000 0.5000  2 Au 2.69
4 Hg 0.5000 0.5000 0.5000  8 K 4.14, 4 Cd 4.44
5 Au 0.0000 0.0000 0.0000  2 Cd 2.69

=====

Q:
Here is an optimized crystal structure of K2CdHgAu from Alexandria. Energies are from PBE.

Properties
symmetry	P4/mmm (123)

Cell: 6.3023 6.3023 5.3820 Å, 90.00 90.00 90.00°
With the nearest neighbours (Å) after each atom.
Fractional positions:
1 K 0.0000 0.5000 0.0000  2 Au 3.15
2 K 0.5000 0.0000 0.0000  2 Au 3.15
3 Cd 0.0000 0.0000 0.5000  8 K 4.14, 4 Hg 4.46
4 Hg 0.5000 0.5000 0.5000  2 Au 2.69
5 Au 0.5000 0.5000 0.0000  2 Hg 2.69

=====

R:
Here is an optimized crystal structure of K2CdHgAu from Alexandria. Energies are from PBE.

Properties
symmetry	P4/nmm (129)

Cell: 4.7143 4.7143 15.3471 Å, 90.00 90.00 90.00°
With the nearest neighbours (Å) after each atom.
Fractional positions:
1 K 0.2500 0.2500 0.1598  5 Hg 3.37-3.67, 1 Au 3.51
2 K 0.2500 0.2500 0.6788  4 Au 3.49, 4 Cd 3.62
3 K 0.7500 0.7500 0.3212  4 Au 3.49, 4 Cd 3.62
4 K 0.7500 0.7500 0.8402  5 Hg 3.37-3.67, 1 Au 3.51
5 Cd 0.2500 0.7500 0.5000  4 Au 2.91
6 Cd 0.7500 0.2500 0.5000  4 Au 2.91
7 Hg 0.2500 0.2500 0.9399  5 K 3.37-3.67
8 Hg 0.7500 0.7500 0.0601  5 K 3.37-3.67
9 Au 0.2500 0.2500 0.3887  4 Cd 2.91
10 Au 0.7500 0.7500 0.6113  4 Cd 2.91

=====

Least stable: Q

=====

P:
Here is an optimized crystal structure of KCdHg2Au from Alexandria. Energies are from PBE.

Properties
symmetry	P4/mmm (123)

Cell: 5.4703 5.4703 6.1592 Å, 90.00 90.00 90.00°
With the nearest neighbours (Å) after each atom.
Fractional positions:
1 K 0.0000 0.0000 0.0000  2 Au 3.08
2 Cd 0.5000 0.5000 0.0000  4 K 3.87, 8 Hg 4.12
3 Hg 0.0000 0.5000 0.5000  2 Au 2.74
4 Hg 0.5000 0.0000 0.5000  2 Au 2.74
5 Au 0.0000 0.0000 0.5000  4 Hg 2.74

=====

Q:
Here is an optimized crystal structure of KCdHg2Au from Alexandria. Energies are from PBE.

Properties
symmetry	P4/mmm (123)

Cell: 5.4842 5.4842 5.3976 Å, 90.00 90.00 90.00°
With the nearest neighbours (Å) after each atom.
Fractional positions:
1 K 0.0000 0.0000 0.0000  8 Hg 3.85, 4 Cd 3.88
2 Cd 0.5000 0.5000 0.0000  2 Au 2.70
3 Hg 0.0000 0.5000 0.5000  2 Au 2.74
4 Hg 0.5000 0.0000 0.5000  2 Au 2.74
5 Au 0.5000 0.5000 0.5000  2 Cd 2.70, 4 Hg 2.74

=====

Least stable: P

=====

P:
Here is an optimized crystal structure of KCdHg2Au from Alexandria. Energies are from PBE.

Properties
symmetry	P4/mmm (123)

Cell: 5.7162 5.7162 5.4063 Å, 90.00 90.00 90.00°
With the nearest neighbours (Å) after each atom.
Fractional positions:
1 K 0.0000 0.0000 0.0000  8 Hg 3.93, 4 Au 4.04
2 Cd 0.5000 0.5000 0.5000  2 Au 2.70, 4 Hg 2.86
3 Hg 0.0000 0.5000 0.5000  2 Cd 2.86
4 Hg 0.5000 0.0000 0.5000  2 Cd 2.86
5 Au 0.5000 0.5000 0.0000  2 Cd 2.70

=====

Q:
Here is an optimized crystal structure of KCdHg2Au from Alexandria. Energies are from PBE.

Properties
symmetry	Imm2 (44)

Cell: 7.2790 7.2790 7.2790 Å, 142.86 141.93 54.23°
With the nearest neighbours (Å) after each atom.
Fractional positions:
1 K 0.0000 0.0000 0.0000  4 Au 3.58, 6 Hg 3.62-3.82, 2 Cd 3.88
2 Cd 0.2635 0.7635 0.5000  2 Au 2.88, 2 Hg 3.08
3 Hg 0.6125 0.6125 0.0000  1 Au 2.81, 2 Hg 3.06, 2 Cd 3.08
4 Hg 0.7661 0.2661 0.5000  2 Au 2.91, 2 Hg 3.06
5 Au 0.3960 0.3960 0.0000  3 Hg 2.81-2.91, 2 Cd 2.88

=====

Least stable: P

=====

P:
Here is an optimized crystal structure of PuCdHgAu from Alexandria. Energies are from PBE.

Properties
symmetry	F-43m (216)

Cell: 5.0879 5.0879 5.0879 Å, 60.00 60.00 60.00°
With the nearest neighbours (Å) after each atom.
Fractional positions:
1 Pu 0.0000 0.0000 0.0000  4 Cd 3.12, 4 Au 3.12
2 Cd 0.7500 0.7500 0.7500  4 Hg 3.12, 4 Pu 3.12
3 Hg 0.5000 0.5000 0.5000  4 Cd 3.12, 4 Au 3.12
4 Au 0.2500 0.2500 0.2500  4 Hg 3.12, 4 Pu 3.12

=====

Q:
Here is an optimized crystal structure of PuCdHgAu from Alexandria. Energies are from PBE.

Properties
symmetry	F-43m (216)

Cell: 5.0921 5.0921 5.0921 Å, 60.00 60.00 60.00°
With the nearest neighbours (Å) after each atom.
Fractional positions:
1 Pu 0.0000 0.0000 0.0000  4 Hg 3.12, 4 Au 3.12
2 Cd 0.5000 0.5000 0.5000  4 Hg 3.12, 4 Au 3.12
3 Hg 0.7500 0.7500 0.7500  4 Cd 3.12, 4 Pu 3.12
4 Au 0.2500 0.2500 0.2500  4 Cd 3.12, 4 Pu 3.12

=====

Least stable: P

=====

P:
Here is an optimized crystal structure of HoCd3Au3 from Alexandria. Energies are from PBE.

Properties
symmetry	P2_13 (198)

Cell: 8.4361 8.4361 8.4361 Å, 90.00 90.00 90.00°
With the nearest neighbours (Å) after each atom.
Fractional positions:
1 Ho 0.0542 0.4458 0.5542  6 Au 3.07-3.14, 4 Cd 3.16-3.27
2 Ho 0.4458 0.5542 0.0542  6 Au 3.07-3.14, 4 Cd 3.16-3.27
3 Ho 0.5542 0.0542 0.4458  6 Au 3.07-3.14, 4 Cd 3.16-3.27
4 Ho 0.9458 0.9458 0.9458  6 Au 3.07-3.14, 4 Cd 3.16-3.27
5 Cd 0.1247 0.6247 0.8753  6 Au 2.92, 1 Cd 3.01, 3 Ho 3.16
6 Cd 0.1694 0.1694 0.1694  6 Au 2.89-2.93, 1 Cd 3.01
7 Cd 0.1885 0.8115 0.3115  6 Au 2.84-2.98
8 Cd 0.3115 0.1885 0.8115  6 Au 2.84-2.98
9 Cd 0.3306 0.8306 0.6694  6 Au 2.89-2.93, 1 Cd 3.01
10 Cd 0.3753 0.3753 0.3753  6 Au 2.92, 1 Cd 3.01, 3 Ho 3.16
11 Cd 0.6247 0.8753 0.1247  6 Au 2.92, 1 Cd 3.01, 3 Ho 3.16
12 Cd 0.6694 0.3306 0.8306  6 Au 2.89-2.93, 1 Cd 3.01
13 Cd 0.6885 0.6885 0.6885  6 Au 2.84-2.98
14 Cd 0.8115 0.3115 0.1885  6 Au 2.84-2.98
15 Cd 0.8306 0.6694 0.3306  6 Au 2.89-2.93, 1 Cd 3.01
16 Cd 0.8753 0.1247 0.6247  6 Au 2.92, 1 Cd 3.01, 3 Ho 3.16
17 Au 0.0054 0.3008 0.8935  6 Cd 2.84-2.98, 2 Ho 3.07-3.14
18 Au 0.1065 0.5054 0.1992  6 Cd 2.84-2.98, 2 Ho 3.07-3.14
19 Au 0.1992 0.1065 0.5054  6 Cd 2.84-2.98, 2 Ho 3.07-3.14
20 Au 0.3008 0.8935 0.0054  6 Cd 2.84-2.98, 2 Ho 3.07-3.14
21 Au 0.3935 0.4946 0.6992  6 Cd 2.84-2.98, 2 Ho 3.07-3.14
22 Au 0.4946 0.6992 0.3935  6 Cd 2.84-2.98, 2 Ho 3.07-3.14
23 Au 0.5054 0.1992 0.1065  6 Cd 2.84-2.98, 2 Ho 3.07-3.14
24 Au 0.6065 0.9946 0.8008  6 Cd 2.84-2.98, 2 Ho 3.07-3.14
25 Au 0.6992 0.3935 0.4946  6 Cd 2.84-2.98, 2 Ho 3.07-3.14
26 Au 0.8008 0.6065 0.9946  6 Cd 2.84-2.98, 2 Ho 3.07-3.14
27 Au 0.8935 0.0054 0.3008  6 Cd 2.84-2.98, 2 Ho 3.07-3.14
28 Au 0.9946 0.8008 0.6065  6 Cd 2.84-2.98, 2 Ho 3.07-3.14

=====

Q:
Here is an optimized crystal structure of HoCd3Au3 from Alexandria. Energies are from PBE.

Properties
symmetry	Pm-3n (223)

Cell: 7.4934 7.4934 7.4934 Å, 90.00 90.00 90.00°
With the nearest neighbours (Å) after each atom.
Fractional positions:
1 Ho 0.0000 0.0000 0.0000  12 Cd 4.19, 12 Au 4.19
2 Ho 0.5000 0.5000 0.5000  12 Cd 4.19, 12 Au 4.19
3 Cd 0.0000 0.2500 0.5000  4 Au 2.65
4 Cd 0.0000 0.7500 0.5000  4 Au 2.65
5 Cd 0.2500 0.5000 0.0000  4 Au 2.65
6 Cd 0.5000 0.0000 0.2500  4 Au 2.65
7 Cd 0.5000 0.0000 0.7500  4 Au 2.65
8 Cd 0.7500 0.5000 0.0000  4 Au 2.65
9 Au 0.0000 0.5000 0.2500  4 Cd 2.65
10 Au 0.0000 0.5000 0.7500  4 Cd 2.65
11 Au 0.2500 0.0000 0.5000  4 Cd 2.65
12 Au 0.5000 0.2500 0.0000  4 Cd 2.65
13 Au 0.5000 0.7500 0.0000  4 Cd 2.65
14 Au 0.7500 0.0000 0.5000  4 Cd 2.65

=====

Least stable: Q

=====

P:
Here is an optimized crystal structure of Ho2CdAu from Alexandria. Energies are from PBE.

Properties
symmetry	P4/mmm (123)

Cell: 3.6651 3.6651 7.2498 Å, 90.00 90.00 90.00°
With the nearest neighbours (Å) after each atom.
Fractional positions:
1 Ho 0.0000 0.0000 0.2369  4 Au 3.11, 4 Cd 3.22, 1 Ho 3.43
2 Ho 0.0000 0.0000 0.7631  4 Au 3.11, 4 Cd 3.22, 1 Ho 3.43
3 Cd 0.5000 0.5000 0.5000  8 Ho 3.22
4 Au 0.5000 0.5000 0.0000  8 Ho 3.11

=====

Q:
Here is an optimized crystal structure of Ho2CdAu from Alexandria. Energies are from PBE.

Properties
symmetry	R-3m (166)

Cell: 8.9155 8.9155 8.9155 Å, 24.72 24.72 24.72°
With the nearest neighbours (Å) after each atom.
Fractional positions:
1 Ho 0.2411 0.2411 0.2411  3 Au 2.93, 3 Cd 3.25
2 Ho 0.7589 0.7589 0.7589  3 Au 2.93, 3 Cd 3.25
3 Cd 0.0000 0.0000 0.0000  6 Ho 3.25
4 Au 0.5000 0.5000 0.5000  6 Ho 2.93

=====

Least stable: Q